## KLiBe (GGA-PBE)

Data for a relaxed structure of KLiBe.

Geometry as POSCAR:
```
KLiBe
1.0
-0.5779 1.8232 -6.3010
-2.4268 -2.7564 -5.4657
-0.6491 1.6654 6.3376
Be K Li
1 1 1
direct
0.0560 0.0560 0.0000
0.3416 0.3416 0.0000
0.6024 0.6024 0.0000
```

Summary:
As for the magnetization: 0.000 μB per atom. The density of states at the Fermi level is 0.46 states/eV per atom. As for the formation enthalpy at 0 K: 0.62 eV per atom. The space group is Imm2 (44). The calculated total energy is -4.9 eV/cell. As for the energy relative to the lowest polymorph listed for this composition: 319.8 meV per atom. The volume is 76 Å³/cell.

## KLiBe (GGA-PBE)

Data for a relaxed structure of KLiBe.

Geometry as POSCAR:
```
KLiBe
1.0
-2.0786 1.3045 3.2819
-4.3968 -1.1946 -4.7964
-0.3744 -6.0186 2.1464
K Li Be
2 2 2
direct
0.2897 0.3321 0.7640
0.8616 0.4842 0.2533
0.0414 0.8373 0.8179
0.5900 0.9356 0.4532
0.6018 0.9590 0.0683
0.1185 0.9929 0.1759
```

Summary:
As for the magnetization: 0.000 μB per atom. The density of states at the Fermi level is 0.63 states/eV per atom. As for the formation enthalpy at 0 K: 0.43 eV per atom. The space group is P1 (1). The calculated total energy is -10.9 eV/cell. As for the energy relative to the lowest polymorph listed for this composition: 127.1 meV per atom. The volume is 165 Å³/cell.

## KLiBe (GGA-PBE)

Data for a relaxed structure of KLiBe.

Geometry as POSCAR:
```
KLiBe
1.0
-1.7199 2.3372 4.3234
-4.6037 -1.3416 2.0294
-0.1988 -2.6400 4.4837
Be K Li
1 1 1
direct
0.2500 0.2500 0.2500
0.0000 0.0000 0.0000
0.5000 0.5000 0.5000
```

Summary:
As for the magnetization: 0.000 μB per atom. The density of states at the Fermi level is 0.50 states/eV per atom. As for the formation enthalpy at 0 K: 0.87 eV per atom. The space group is F-43m (216). The calculated total energy is -4.1 eV/cell. As for the energy relative to the lowest polymorph listed for this composition: 575.0 meV per atom. The volume is 100 Å³/cell.

## K2LiBe (GGA-PBE)

Data for a relaxed structure of K2LiBe.

Geometry as POSCAR:
```
K2LiBe
1.0
-1.8303 -5.8219 3.8165
4.4230 -2.5445 5.0767
-4.0237 5.4288 -2.4796
Be K Li
1 2 1
direct
0.2889 0.7889 0.5000
0.0455 0.0455 0.0000
0.7436 0.2436 0.5000
0.4220 0.4220 0.0000
```

Summary:
As for the magnetization: 0.000 μB per atom. The density of states at the Fermi level is 0.66 states/eV per atom. As for the formation enthalpy at 0 K: 0.57 eV per atom. The space group is Imm2 (44). The calculated total energy is -5.6 eV/cell. The volume is 147 Å³/cell.

## KLiBe4 (GGA-PBE)

Data for a relaxed structure of KLiBe4.

Geometry as POSCAR:
```
KLiBe4
1.0
0.0000 3.5139 3.5139
3.5139 0.0000 3.5139
3.5139 3.5139 0.0000
K Li Be
1 1 4
direct
0.7500 0.7500 0.7500
0.0000 0.0000 0.0000
0.9135 0.3622 0.3622
0.3622 0.3622 0.9135
0.3622 0.9135 0.3622
0.3622 0.3622 0.3622
```

Summary:
As for the magnetization: 0.000 μB per atom. The density of states at the Fermi level is 0.25 states/eV per atom. As for the formation enthalpy at 0 K: 0.66 eV per atom. The space group is F-43m (216). The calculated total energy is -14.0 eV/cell. The volume is 87 Å³/cell.

## K3LiBe (GGA-PBE)

Data for a relaxed structure of K3LiBe.

Geometry as POSCAR:
```
K3LiBe
1.0
-5.0611 -2.2657 -3.2951
3.9552 -3.6194 -3.5863
-0.5892 -4.8344 4.2292
Be K Li
1 3 1
direct
0.0000 0.0000 0.0000
0.0000 0.5000 0.0000
0.0000 0.0000 0.5000
0.5000 0.0000 0.0000
0.5000 0.5000 0.5000
```

Summary:
As for the magnetization: 0.000 μB per atom. The density of states at the Fermi level is 0.99 states/eV per atom. As for the formation enthalpy at 0 K: 0.62 eV per atom. The space group is Pm-3m (221). The calculated total energy is -5.9 eV/cell. As for the energy relative to the lowest polymorph listed for this composition: 0.0 meV per atom. The volume is 268 Å³/cell.

## K2LiBe (GGA-PBE)

Data for a relaxed structure of K2LiBe.

Geometry as POSCAR:
```
K2LiBe
1.0
-1.7099 3.6515 -1.1338
-1.0514 0.6369 3.6369
7.2657 5.0355 5.2596
Be K Li
1 2 1
direct
0.5000 0.7500 0.7500
0.0000 0.0358 0.9644
0.0000 0.4642 0.5356
0.5000 0.2500 0.2500
```

Summary:
As for the magnetization: 0.000 μB per atom. The density of states at the Fermi level is 0.78 states/eV per atom. As for the formation enthalpy at 0 K: 0.68 eV per atom. The space group is P2/m (10). The calculated total energy is -5.1 eV/cell. The volume is 154 Å³/cell.

## KLi3Be (GGA-PBE)

Data for a relaxed structure of KLi3Be.

Geometry as POSCAR:
```
KLi3Be
1.0
5.0628 0.0000 0.0000
0.0000 5.0628 0.0000
0.0000 0.0000 5.0628
Be K Li
1 1 3
direct
0.0000 0.0000 0.0000
0.5000 0.5000 0.5000
0.0000 0.5000 0.0000
0.0000 0.0000 0.5000
0.5000 0.0000 0.0000
```

Summary:
As for the magnetization: 0.000 μB per atom. The density of states at the Fermi level is 0.73 states/eV per atom. As for the formation enthalpy at 0 K: 0.37 eV per atom. The space group is Pm-3m (221). The calculated total energy is -8.7 eV/cell. As for the energy relative to the lowest polymorph listed for this composition: 0.0 meV per atom. The volume is 130 Å³/cell.

## KLiBe (GGA-PBE)

Data for a relaxed structure of KLiBe.

Geometry as POSCAR:
```
KLiBe
1.0
-2.3574 0.5852 3.2119
-1.3847 -2.0926 -3.1657
5.0440 -9.7921 4.3152
K Li Be
2 2 2
direct
0.7867 0.1721 0.1370
0.6577 0.6046 0.7898
0.2510 0.9043 0.5648
0.1865 0.8704 0.3616
0.8856 0.2207 0.4646
0.5516 0.5540 0.4615
```

Summary:
As for the magnetization: 0.000 μB per atom. The density of states at the Fermi level is 0.34 states/eV per atom. As for the formation enthalpy at 0 K: 0.30 eV per atom. The space group is P1 (1). The calculated total energy is -11.7 eV/cell. As for the energy relative to the lowest polymorph listed for this composition: 0.0 meV per atom. The volume is 166 Å³/cell.

## KLiBe (GGA-PBE)

Data for a relaxed structure of KLiBe.

Geometry as POSCAR:
```
KLiBe
1.0
4.1505 -0.0107 -0.0206
2.0572 3.5795 0.0041
2.0102 -1.0733 12.0187
K Li Be
2 2 2
direct
0.7466 0.6641 0.8378
0.8451 0.1373 0.1782
0.3441 0.8765 0.4273
0.5831 0.2524 0.5774
0.2229 0.9315 0.6190
0.9157 0.5861 0.5810
```

Summary:
As for the magnetization: 0.000 μB per atom. The density of states at the Fermi level is 0.69 states/eV per atom. As for the formation enthalpy at 0 K: 0.38 eV per atom. The space group is P1 (1). The calculated total energy is -11.2 eV/cell. As for the energy relative to the lowest polymorph listed for this composition: 81.1 meV per atom. The volume is 179 Å³/cell.

## KLiBe (GGA-PBE)

Data for a relaxed structure of KLiBe.

Geometry as POSCAR:
```
KLiBe
1.0
4.5996 0.0000 0.0000
-2.2998 3.9834 0.0000
0.0000 0.0000 4.9404
Be K Li
1 1 1
direct
0.0000 0.0000 0.8320
0.3333 0.6667 0.3341
0.6667 0.3333 0.8339
```

Summary:
As for the magnetization: 0.000 μB per atom. The density of states at the Fermi level is 0.50 states/eV per atom. As for the formation enthalpy at 0 K: 0.74 eV per atom. The space group is P3m1 (156). The calculated total energy is -4.5 eV/cell. As for the energy relative to the lowest polymorph listed for this composition: 437.1 meV per atom. The volume is 91 Å³/cell.

## KLiBeNi2 (GGA-PBE)

Data for a relaxed structure of KLiBeNi2.

Geometry as POSCAR:
```
KLiBeNi2
1.0
-3.8477 -1.2934 -2.4204
2.9236 -0.9767 -4.1258
0.5771 -4.4564 1.4639
Ni K Li Be
2 1 1 1
direct
0.0000 0.0000 0.5000
0.5000 0.0000 0.0000
0.0000 0.0000 0.0000
0.5000 0.5000 0.5000
0.0000 0.5000 0.0000
```

Summary:
As for the magnetization: 0.000 μB per atom. The density of states at the Fermi level is 0.72 states/eV per atom. As for the formation enthalpy at 0 K: 1.95 eV per atom. The space group is P4/mmm (123). The calculated total energy is -8.5 eV/cell. The volume is 115 Å³/cell.

## KLiBeO2 (GGA-PBE)

Data for a relaxed structure of KLiBeO2.

Geometry as POSCAR:
```
KLiBeO2
1.0
-2.9706 0.8172 0.2252
0.1400 -4.6483 -2.4741
-0.0817 -2.2157 6.9629
K Li Be O
2 2 2 4
direct
0.3486 0.6972 0.3579
0.6514 0.3028 0.6421
0.6859 0.3719 0.0550
0.3141 0.6281 0.9450
0.0451 0.0902 0.1511
0.9549 0.9098 0.8489
0.4009 0.8018 0.7378
0.5991 0.1982 0.2622
0.1140 0.2281 0.9436
0.8860 0.7719 0.0564
```

Summary:
As for the magnetization: 0.000 μB per atom. The density of states at the Fermi level is 0.00 states/eV per atom. The space group is C2/m (12). The calculated total energy is -52.7 eV/cell. The calculation puts the raw formation energy at -1941 meV/atom. The volume is 112 Å³/cell.

## KLi2BeOs (GGA-PBE)

Data for a relaxed structure of KLi2BeOs.

Geometry as POSCAR:
```
KLi2BeOs
1.0
-3.5451 -1.4012 -1.5846
2.0882 -4.5464 -0.6517
-1.2470 -1.1138 3.7745
Be K Os Li
1 1 1 2
direct
0.5000 0.5000 0.5000
0.0000 0.0000 0.0000
0.0000 0.5000 0.0000
0.0000 0.0000 0.5000
0.5000 0.0000 0.0000
```

Summary:
As for the magnetization: 0.167 μB per atom. The density of states at the Fermi level is 0.47 states/eV per atom. As for the formation enthalpy at 0 K: 1.89 eV per atom. The space group is P4/mmm (123). The calculated total energy is -10.4 eV/cell. The volume is 86 Å³/cell.

## KLiBe2Os (GGA-PBE)

Data for a relaxed structure of KLiBe2Os.

Geometry as POSCAR:
```
KLiBe2Os
1.0
-3.7507 -2.3698 0.0308
0.5625 -0.8444 3.5247
-2.2702 3.6091 1.2268
Be K Os Li
2 1 1 1
direct
0.0000 0.0000 0.5000
0.5000 0.0000 0.0000
0.0000 0.0000 0.0000
0.5000 0.5000 0.5000
0.0000 0.5000 0.0000
```

Summary:
As for the magnetization: 0.000 μB per atom. The density of states at the Fermi level is 0.67 states/eV per atom. As for the formation enthalpy at 0 K: 2.18 eV per atom. The space group is P4/mmm (123). The calculated total energy is -10.8 eV/cell. The volume is 72 Å³/cell.

## K2LiBeP2 (GGA-PBE)

Data for a relaxed structure of K2LiBeP2.

Geometry as POSCAR:
```
K2LiBeP2
1.0
6.0331 0.0000 0.0000
0.0000 5.9163 0.0000
-3.0165 -2.9582 7.3212
K Li Be P
4 2 2 4
direct
0.4030 0.1679 0.3359
0.5970 0.8321 0.6641
0.0672 0.3321 0.6641
0.9328 0.6679 0.3359
0.0000 0.7500 0.0000
0.0000 0.2500 0.0000
0.5000 0.7500 0.0000
0.5000 0.2500 0.0000
0.7919 0.0800 0.1599
0.3680 0.5800 0.1599
0.6320 0.4200 0.8401
0.2081 0.9200 0.8401
```

Summary:
As for the magnetization: 0.000 μB per atom. The density of states at the Fermi level is 0.71 states/eV per atom. As for the formation enthalpy at 0 K: -0.37 eV per atom. The space group is Ibam (72). The calculated total energy is -41.7 eV/cell. The volume is 261 Å³/cell.

## K2LiBeP (GGA-PBE)

Data for a relaxed structure of K2LiBeP.

Geometry as POSCAR:
```
K2LiBeP
1.0
-4.5105 2.9116 -3.9366
-2.7404 -2.5223 1.2743
-1.5799 4.2006 4.9170
P K Li Be
1 2 1 1
direct
0.0000 0.0000 0.0000
0.0000 0.0000 0.5000
0.5000 0.0000 0.0000
0.5000 0.5000 0.5000
0.0000 0.5000 0.0000
```

Summary:
As for the magnetization: 0.000 μB per atom. The density of states at the Fermi level is 0.24 states/eV per atom. As for the formation enthalpy at 0 K: 0.04 eV per atom. The space group is P4/mmm (123). The calculated total energy is -13.0 eV/cell. The volume is 174 Å³/cell.

## KLiBe2P2 (GGA-PBE)

Data for a relaxed structure of KLiBe2P2.

Geometry as POSCAR:
```
KLiBe2P2
1.0
3.6913 0.0000 0.0000
-1.8456 3.1967 0.0000
0.0000 0.0000 8.7764
K Li Be P
1 1 2 2
direct
0.0000 0.0000 0.0000
0.0000 0.0000 0.5000
0.6667 0.3333 0.3059
0.3333 0.6667 0.6941
0.6667 0.3333 0.7054
0.3333 0.6667 0.2946
```

Summary:
As for the magnetization: 0.000 μB per atom. The density of states at the Fermi level is 0.00 states/eV per atom. As for the formation enthalpy at 0 K: -0.49 eV per atom. The space group is P-3m1 (164). The calculated total energy is -24.2 eV/cell. The volume is 104 Å³/cell.

## KLi2BePt (GGA-PBE)

Data for a relaxed structure of KLi2BePt.

Geometry as POSCAR:
```
KLi2BePt
1.0
4.1008 0.0000 0.0000
0.0000 4.9127 0.0000
0.0000 0.0000 4.1008
Be K Pt Li
1 1 1 2
direct
0.0000 0.5000 0.0000
0.0000 0.0000 0.0000
0.5000 0.5000 0.5000
0.0000 0.0000 0.5000
0.5000 0.0000 0.0000
```

Summary:
As for the magnetization: 0.000 μB per atom. The density of states at the Fermi level is 0.30 states/eV per atom. As for the formation enthalpy at 0 K: 1.21 eV per atom. The space group is P4/mmm (123). The calculated total energy is -8.6 eV/cell. The volume is 83 Å³/cell.

## K2LiBeRe (GGA-PBE)

Data for a relaxed structure of K2LiBeRe.

Geometry as POSCAR:
```
K2LiBeRe
1.0
-2.6892 1.8684 -5.7063
0.0883 -4.1245 -1.3921
-6.0029 -0.9755 2.5096
Re K Li Be
1 2 1 1
direct
0.0000 0.0000 0.0000
0.0000 0.0000 0.5000
0.5000 0.0000 0.0000
0.5000 0.5000 0.5000
0.0000 0.5000 0.0000
```

Summary:
As for the magnetization: 0.474 μB per atom. The density of states at the Fermi level is 0.66 states/eV per atom. As for the formation enthalpy at 0 K: 1.33 eV per atom. The space group is P4/mmm (123). The calculated total energy is -13.6 eV/cell. The volume is 188 Å³/cell.